(1)
# CuHSeBr2

CuHSeBr2 after structural relaxation (PBE-GGA, Alexandria).

Results
E above lowest polymorph: 0.00 kJ/mol of atoms
space-group type: P4/mmm (123)
size of the total moment: 0.200 μB per formula unit
energy: -2.2847 eV/atom
DOS at the Fermi energy: 3.59 states/eV per cell

Lattice parameters (Å, degrees): 5.279 5.279 3.476 90.00 90.00 90.00
Positions (direct):
H1 0.000 0.000 0.000
Cu1 0.500 0.500 0.500
Se1 0.000 0.000 0.500
Br1 0.000 0.500 0.000
Br2 0.500 0.000 0.000

=====

(2)
# LiCaCe2Au4

LiCaCe2Au4 after structural relaxation (PBE-GGA, Alexandria).

Results
space-group type: R-3m (166)
size of the total moment: 1.831 μB per formula unit
energy: -4.2469 eV/atom
DOS at the Fermi energy: 16.27 states/eV per cell

Lattice parameters (Å, degrees): 5.100 5.100 8.799 73.15 73.15 60.00
Positions (direct):
Li1 0.500 0.500 0.500
Ca1 0.000 0.000 0.000
Ce1 0.754 0.754 0.737
Ce2 0.246 0.246 0.263
Au1 0.377 0.377 0.870
Au2 0.876 0.876 0.371
Au3 0.124 0.124 0.629
Au4 0.623 0.623 0.130

=====

(3)
# KLa2ZnGa

KLa2ZnGa after structural relaxation (PBE-GGA, Alexandria).

Results
space-group type: P4/mmm (123)
size of the total moment: 0.000 μB per formula unit
energy: -2.7208 eV/atom
DOS at the Fermi energy: 7.15 states/eV per cell

Lattice parameters (Å, degrees): 5.784 6.283 5.784 90.00 90.00 90.00
Positions (direct):
Zn1 0.500 0.500 0.500
K1 0.000 0.500 0.000
Ga1 0.000 0.000 0.000
La1 0.000 0.000 0.500
La2 0.500 0.000 0.000

=====

(4)
# CeYIN2

CeYIN2 after structural relaxation (PBE-GGA, Alexandria).

Results
space-group type: P2_1/m (11)
raw formation energy: -1535 meV per atom
size of the total moment: 0.000 μB per formula unit
energy: -7.6553 eV/atom

Lattice parameters (Å, degrees): 4.204 7.342 8.058 107.59 90.00 90.00
Positions (direct):
Ce1 0.250 0.641 0.910
Ce2 0.750 0.359 0.090
Y1 0.250 0.635 0.414
Y2 0.750 0.365 0.586
I1 0.250 0.032 0.746
I2 0.750 0.968 0.254
N1 0.750 0.501 0.368
N2 0.250 0.499 0.632
N3 0.750 0.518 0.887
N4 0.250 0.482 0.113

=====

(5)
# YMgC3

YMgC3 after structural relaxation (PBE-GGA, Alexandria).

Results
E above lowest polymorph: 59.71 kJ/mol of atoms
space-group type: Pm-3m (221)
size of the total moment: 0.000 μB per formula unit
energy: -4.7817 eV/atom
DOS at the Fermi energy: 4.05 states/eV per cell

Lattice parameters (Å, degrees): 4.483 4.483 4.483 90.00 90.00 90.00
Positions (direct):
Y1 0.000 0.000 0.000
Mg1 0.500 0.500 0.500
C1 0.000 0.500 0.000
C2 0.000 0.000 0.500
C3 0.500 0.000 0.000

=====

(6)
# Re2MoAu

Re2MoAu after structural relaxation (PBE-GGA, Alexandria).

Results
E above lowest polymorph: 0.00 kJ/mol of atoms
space-group type: Pm (6)
size of the total moment: 0.000 μB per formula unit
energy: -9.5428 eV/atom
DOS at the Fermi energy: 2.55 states/eV per cell

Lattice parameters (Å, degrees): 3.993 2.816 6.333 63.31 90.00 90.00
Positions (direct):
Au1 0.000 0.498 0.502
Mo1 0.500 0.716 0.771
Re1 0.000 0.015 0.009
Re2 0.500 0.271 0.219